Entry one
! PBE Li3CaPt, relaxed; values from VASP
&SYSTEM
  ibrav = 0, nat = 5, ntyp = 3
/
ATOMIC_SPECIES
Ca 40.08 Ca.upf
Li 6.94 Li.upf
Pt 195.08 Pt.upf
ATOMIC_POSITIONS crystal
Ca 0.500 0.500 0.500
Li 0.000 0.000 0.500
Li 0.500 0.000 0.000
Li 0.000 0.500 0.000
Pt 0.000 0.000 0.000
CELL_PARAMETERS angstrom
-0.765 1.749 -4.399
-1.183 -4.385 -1.538
-4.584 0.840 1.131
! * mass density: 3.9 g/cm3

Entry two
! PBE Li3CaPt, relaxed; values from VASP
&SYSTEM
  ibrav = 0, nat = 10, ntyp = 3
/
ATOMIC_SPECIES
Li 6.94 Li.upf
Pt 195.08 Pt.upf
Ca 40.08 Ca.upf
ATOMIC_POSITIONS crystal
Li 0.828 0.960 0.646
Li 0.421 0.914 0.414
Li 0.921 0.414 0.914
Li 0.501 0.990 0.998
Li 0.001 0.490 0.498
Li 0.328 0.460 0.146
Pt 0.688 0.359 0.271
Pt 0.188 0.859 0.771
Ca 0.940 0.909 0.174
Ca 0.440 0.409 0.674
CELL_PARAMETERS angstrom
5.903 -0.527 0.450
-0.403 4.986 -0.116
0.458 -0.240 6.899
! * mass density: 4.2 g/cm3

Tell me which of them is the least stable. Sure, it is entry one.

Entry one
! PBE LiCaPt3, relaxed; values from VASP
&SYSTEM
  ibrav = 0, nat = 5, ntyp = 3
/
ATOMIC_SPECIES
Pt 195.08 Pt.upf
Li 6.94 Li.upf
Ca 40.08 Ca.upf
ATOMIC_POSITIONS crystal
Pt 0.000 0.500 0.000
Pt 0.000 0.000 0.500
Pt 0.500 0.000 0.000
Li 0.500 0.500 0.500
Ca 0.000 0.000 0.000
CELL_PARAMETERS angstrom
5.039 0.000 0.000
0.000 5.039 0.000
0.000 0.000 5.039
! * mass density: 8.2 g/cm3

Entry two
! PBE LiCaPt3, relaxed; values from VASP
&SYSTEM
  ibrav = 0, nat = 5, ntyp = 3
/
ATOMIC_SPECIES
Pt 195.08 Pt.upf
Li 6.94 Li.upf
Ca 40.08 Ca.upf
ATOMIC_POSITIONS crystal
Pt 0.000 0.500 0.000
Pt 0.500 0.000 0.000
Pt 0.000 0.000 0.500
Li 0.000 0.000 0.000
Ca 0.500 0.500 0.500
CELL_PARAMETERS angstrom
4.399 0.000 0.000
0.000 4.399 0.000
0.000 0.000 4.399
! * mass density: 12.3 g/cm3

Tell me which of them is the least stable. Sure, it is entry one.